--- P ---
Sr2LiH8O6 | Alexandria | GGA-PBE | optimized geometry; size of the total moment = 0.0000 μB/atom; crystal system = monoclinic; mass density = 2.28 g/cm3; DOS(E_F) = 0.69 states/eV/cell
1.0
-3.112 -0.750 -2.091
-3.731 -0.916 5.881
-2.552 7.367 1.156
Sr Li H O
2 1 8 6
direct
0.500 0.392 0.333
0.500 0.657 0.780
0.000 0.323 0.702
0.290 0.804 0.139
0.710 0.804 0.139
0.704 0.076 0.677
0.296 0.076 0.677
0.000 0.113 0.208
0.000 0.951 0.879
0.000 0.669 0.447
0.000 0.375 0.006
0.500 0.727 0.109
0.500 0.170 0.635
0.000 0.248 0.225
0.000 0.937 0.756
0.000 0.541 0.521
0.000 0.453 0.887



--- Q ---
Sr2LiH8O6 | Alexandria | GGA-PBE | optimized geometry; size of the total moment = 0.0000 μB/atom; crystal system = monoclinic; mass density = 2.31 g/cm3; DOS(E_F) = 0.46 states/eV/cell
1.0
3.604 0.000 0.000
0.000 6.351 0.119
0.000 1.941 9.039
Sr Li H O
2 1 8 6
direct
0.500 0.340 0.251
0.500 0.736 0.892
0.500 0.441 0.544
0.286 0.890 0.190
0.714 0.890 0.190
0.715 0.069 0.615
0.285 0.069 0.615
0.000 0.970 0.373
0.000 0.126 0.793
0.000 0.641 0.372
0.000 0.377 0.975
0.500 0.816 0.150
0.500 0.123 0.547
0.000 0.037 0.266
0.000 0.985 0.765
0.000 0.485 0.414
0.000 0.484 0.038



Tell me which of them is the most stable. Sure, it is Q.



--- P ---
Li2H6Os | Alexandria | GGA-PBE | optimized geometry; size of the total moment = 0.0000 μB/atom; crystal system = tetragonal; mass density = 5.74 g/cm3; DOS(E_F) = 0.76 states/eV/cell
1.0
3.800 0.000 0.000
0.000 3.800 0.000
0.000 0.000 8.424
Li H Os
4 12 2
direct
0.000 0.500 0.250
0.500 0.000 0.250
0.500 0.000 0.750
0.000 0.500 0.750
0.341 0.055 0.500
0.659 0.945 0.500
0.555 0.841 0.000
0.055 0.659 0.500
0.945 0.341 0.500
0.159 0.555 0.000
0.000 0.000 0.204
0.500 0.500 0.296
0.000 0.000 0.796
0.500 0.500 0.704
0.445 0.159 0.000
0.841 0.445 0.000
0.000 0.000 0.000
0.500 0.500 0.500



--- Q ---
Li2H6Os | Alexandria | GGA-PBE | optimized geometry; size of the total moment = 0.2044 μB/atom; crystal system = tetragonal; mass density = 4.77 g/cm3; DOS(E_F) = 5.48 states/eV/cell
1.0
-0.722 3.747 1.351
-0.144 -1.396 3.796
8.785 1.388 0.843
Li H Os
4 12 2
direct
0.000 0.000 0.336
0.500 0.500 0.836
0.500 0.500 0.164
0.000 0.000 0.664
0.325 0.325 0.345
0.675 0.675 0.345
0.175 0.825 0.845
0.825 0.175 0.845
0.175 0.825 0.155
0.825 0.175 0.155
0.325 0.325 0.655
0.675 0.675 0.655
0.297 0.297 0.000
0.703 0.703 0.000
0.203 0.797 0.500
0.797 0.203 0.500
0.000 0.000 0.000
0.500 0.500 0.500



Tell me which of them is the most stable. Sure, it is P.



--- P ---
LiH3Os | Alexandria | GGA-PBE | optimized geometry; size of the total moment = 0.0000 μB/atom; crystal system = cubic; mass density = 11.14 g/cm3; DOS(E_F) = 0.39 states/eV/cell
1.0
-0.307 -1.924 2.413
2.635 1.100 1.212
-1.608 2.170 1.526
H Os Li
3 1 1
direct
0.000 0.500 0.000
0.000 0.000 0.500
0.500 0.000 0.000
0.500 0.500 0.500
0.000 0.000 0.000



--- Q ---
LiH3Os | Alexandria | GGA-PBE | optimized geometry; size of the total moment = 0.0000 μB/atom; crystal system = cubic; mass density = 8.19 g/cm3; DOS(E_F) = 0.93 states/eV/cell
1.0
3.437 0.000 0.000
0.000 3.437 0.000
0.000 0.000 3.437
H Os Li
3 1 1
direct
0.000 0.500 0.000
0.000 0.000 0.500
0.500 0.000 0.000
0.000 0.000 0.000
0.500 0.500 0.500



Tell me which of them is the most stable. Sure, it is Q.



--- P ---
Li4H6Os | Alexandria | GGA-PBE | optimized geometry; size of the total moment = 0.0001 μB/atom; crystal system = trigonal; mass density = 3.92 g/cm3; DOS(E_F) = 0.00 states/eV/cell
1.0
5.749 -0.001 -0.001
0.022 5.749 -0.001
0.022 0.021 5.749
Li H Os
8 12 2
direct
0.250 0.250 0.250
0.750 0.750 0.750
0.866 0.634 0.250
0.250 0.866 0.634
0.634 0.250 0.866
0.750 0.134 0.366
0.366 0.750 0.134
0.134 0.366 0.750
0.209 0.548 0.443
0.443 0.209 0.548
0.548 0.443 0.209
0.943 0.048 0.709
0.709 0.943 0.048
0.048 0.709 0.943
0.791 0.452 0.557
0.557 0.791 0.452
0.452 0.557 0.791
0.057 0.952 0.291
0.291 0.057 0.952
0.952 0.291 0.057
0.500 0.500 0.500
0.000 0.000 0.000



--- Q ---
Li4H6Os | Alexandria | GGA-PBE | optimized geometry; size of the total moment = 0.0000 μB/atom; crystal system = monoclinic; mass density = 4.00 g/cm3; DOS(E_F) = 0.00 states/eV/cell
1.0
4.581 0.000 1.383
2.118 4.104 1.262
-0.448 -0.011 9.760
Li H Os
8 12 2
direct
0.491 0.835 0.680
0.994 0.335 0.180
0.902 0.244 0.451
0.402 0.744 0.951
0.175 0.518 0.630
0.678 0.018 0.130
0.766 0.108 0.859
0.267 0.608 0.359
0.782 0.348 0.015
0.855 0.848 0.515
0.504 0.625 0.513
0.357 0.125 0.013
0.282 0.198 0.514
0.006 0.698 0.014
0.162 0.154 0.796
0.888 0.654 0.296
0.665 0.227 0.297
0.811 0.727 0.797
0.386 0.504 0.795
0.315 0.004 0.295
0.585 0.926 0.405
0.084 0.426 0.905



Tell me which of them is the most stable. Sure, it is P.



--- P ---
Li2HOs2 | Alexandria | GGA-PBE | optimized geometry; size of the total moment = 0.0000 μB/atom; crystal system = tetragonal; mass density = 9.80 g/cm3; DOS(E_F) = 2.85 states/eV/cell
1.0
4.804 0.000 0.000
0.000 4.804 0.000
2.402 2.402 2.902
H Os Li
1 2 2
direct
0.000 0.000 0.000
0.301 0.301 0.398
0.699 0.699 0.602
0.750 0.250 0.500
0.250 0.750 0.500



--- Q ---
Li2HOs2 | Alexandria | GGA-PBE | optimized geometry; size of the total moment = 0.0000 μB/atom; crystal system = tetragonal; mass density = 10.65 g/cm3; DOS(E_F) = 3.53 states/eV/cell
1.0
-0.203 -4.322 2.770
-0.632 -2.730 -4.306
4.631 -0.464 -0.385
H Os Li
2 4 4
direct
0.000 0.000 0.000
0.500 0.500 0.000
0.323 0.823 0.000
0.823 0.677 0.000
0.677 0.177 0.000
0.177 0.323 0.000
0.164 0.664 0.500
0.664 0.836 0.500
0.836 0.336 0.500
0.336 0.164 0.500



Tell me which of them is the most stable. Sure, it is Q.



--- P ---
LiHOs3 | Alexandria | GGA-PBE | optimized geometry; size of the total moment = 0.0000 μB/atom; crystal system = cubic; mass density = 14.36 g/cm3; DOS(E_F) = 8.68 states/eV/cell
1.0
4.060 0.000 0.000
0.000 4.060 0.000
0.000 0.000 4.060
H Os Li
1 3 1
direct
0.500 0.500 0.500
0.000 0.500 0.000
0.000 0.000 0.500
0.500 0.000 0.000
0.000 0.000 0.000



--- Q ---
LiHOs3 | Alexandria | GGA-PBE | optimized geometry; size of the total moment = 0.0000 μB/atom; crystal system = cubic; mass density = 16.52 g/cm3; DOS(E_F) = 5.63 states/eV/cell
1.0
3.874 0.000 0.000
0.000 3.874 0.000
0.000 0.000 3.874
H Os Li
1 3 1
direct
0.000 0.000 0.000
0.000 0.500 0.000
0.000 0.000 0.500
0.500 0.000 0.000
0.500 0.500 0.500



Tell me which of them is the most stable. Sure, it is Q.